Computed, not measured: a geometry-optimized In12Ga3O5 structure at the GGA-PBE level of DFT.

```
In12Ga3O5
1.0
-3.218 11.568 -5.527
-1.557 -9.695 -8.848
-7.830 -2.238 10.411
In O Ga
48 20 12
Direct
0.711 0.594 0.183
0.317 0.789 0.406
0.117 0.406 0.089
0.289 0.883 0.972
0.883 0.594 0.911
0.472 0.683 0.089
0.594 0.883 0.411
0.472 0.789 0.883
0.383 0.411 0.094
0.911 0.817 0.528
0.183 0.094 0.711
0.317 0.528 0.411
0.117 0.711 0.528
0.911 0.094 0.883
0.028 0.411 0.817
0.789 0.472 0.383
0.883 0.289 0.472
0.094 0.911 0.383
0.094 0.183 0.211
0.528 0.211 0.117
0.906 0.089 0.617
0.411 0.383 0.594
0.789 0.317 0.906
0.406 0.117 0.589
0.289 0.406 0.817
0.089 0.183 0.472
0.411 0.028 0.317
0.972 0.589 0.183
0.972 0.383 0.289
0.906 0.817 0.789
0.817 0.906 0.289
0.683 0.211 0.594
0.589 0.617 0.406
0.617 0.589 0.906
0.089 0.906 0.117
0.383 0.972 0.789
0.183 0.089 0.972
0.594 0.711 0.683
0.683 0.472 0.589
0.589 0.972 0.683
0.211 0.528 0.617
0.211 0.683 0.094
0.406 0.289 0.317
0.028 0.617 0.711
0.617 0.028 0.211
0.528 0.317 0.911
0.711 0.117 0.028
0.817 0.911 0.028
0.125 0.750 0.375
0.500 0.000 0.500
0.500 0.500 0.000
0.000 0.000 0.500
0.625 0.875 0.250
0.000 0.500 0.500
0.000 0.000 0.000
0.250 0.375 0.625
0.000 0.500 0.000
0.375 0.125 0.750
0.500 0.500 0.500
0.875 0.625 0.750
0.750 0.125 0.875
0.625 0.750 0.875
0.500 0.000 0.000
0.750 0.625 0.375
0.375 0.250 0.125
0.250 0.875 0.125
0.125 0.375 0.250
0.875 0.250 0.625
0.750 0.875 0.625
0.375 0.750 0.625
0.250 0.125 0.375
0.250 0.625 0.875
0.875 0.750 0.125
0.125 0.875 0.750
0.125 0.250 0.875
0.375 0.625 0.250
0.625 0.375 0.750
0.750 0.375 0.125
0.875 0.125 0.250
0.625 0.250 0.375
```

Properties
Calculated density = 6.2 Mg/m³
SG = Ia-3d (230)
Formation energy from raw total energies = -7.48 eV/f.u.
M_tot = 0.000 μB/atom
Uncorrected energy = -0.27273 Ry per atom